Record 1
Compound: CaLa2Pt
Source: Alexandria
Functional: PBE-GGA
Structure: optimized geometry

Properties
* DOS(E_F): 1.084 states/eV per atom
* ΔE to the lowest computed polymorph: 83 meV/atom
* crystal system: orthorhombic
* energy of formation: -0.50 eV/atom

Unit cell a=3.9303 b=8.1845 c=8.1845 alpha=31.52 beta=90.00 gamma=90.00
Closest atoms and distances in Å follow each position.
Element x y z (fractional)
1 Ca 0.0000 0.0000 0.0000  2 Pt 3.15
2 La 0.0000 0.6834 0.6834  4 Pt 3.00
3 La 0.5000 0.3431 0.3431  1 Pt 2.95
4 Pt 0.5000 0.1559 0.1559  5 La 2.95-3.00, 2 Ca 3.15



Record 2
Compound: AlCrCl2
Source: Alexandria
Functional: PBE-GGA
Structure: optimized geometry

Properties
* DOS(E_F): 0.854 states/eV per atom
* ΔE to the lowest computed polymorph: 248 meV/atom
* crystal system: trigonal
* energy relative to the elements, uncorrected: -0.3068 eV per atom

Unit cell a=9.0337 b=9.0337 c=9.0337 alpha=22.20 beta=22.20 gamma=22.20
Closest atoms and distances in Å follow each position.
Element x y z (fractional)
1 Al 0.0000 0.0000 0.0000  2 Cl 2.87
2 Cr 0.5000 0.5000 0.5000  6 Cl 2.53
3 Cl 0.1086 0.1086 0.1086  3 Cr 2.53
4 Cl 0.8914 0.8914 0.8914  3 Cr 2.53



Record 3
Compound: LiBSe2
Source: Alexandria
Functional: PBE-GGA
Structure: optimized geometry

Properties
* DOS(E_F): 0.195 states/eV per atom
* crystal system: orthorhombic
* energy relative to the elements, uncorrected: -0.4467 eV per atom

Unit cell a=6.4709 b=3.4926 c=14.1763 alpha=90.00 beta=90.00 gamma=90.00
Closest atoms and distances in Å follow each position.
Element x y z (fractional)
1 Li 0.0318 0.2500 0.2028  5 Se 2.60-2.85
2 Li 0.4682 0.7500 0.7028  5 Se 2.60-2.85
3 Li 0.5318 0.2500 0.2972  5 Se 2.60-2.85
4 Li 0.9682 0.7500 0.7972  5 Se 2.60-2.85
5 B 0.0460 0.7500 0.4200  4 Se 1.96-2.18
6 B 0.4540 0.2500 0.9200  4 Se 1.96-2.18
7 B 0.5460 0.7500 0.0800  4 Se 1.96-2.18
8 B 0.9540 0.2500 0.5800  4 Se 1.96-2.18
9 Se 0.1514 0.7500 0.5635  3 B 2.15-2.18
10 Se 0.2362 0.7500 0.3122  1 B 1.96
11 Se 0.2638 0.2500 0.8122  1 B 1.96
12 Se 0.3486 0.2500 0.0635  3 B 2.15-2.18
13 Se 0.6514 0.7500 0.9365  3 B 2.15-2.18
14 Se 0.7362 0.7500 0.1878  1 B 1.96
15 Se 0.7638 0.2500 0.6878  1 B 1.96
16 Se 0.8486 0.2500 0.4365  3 B 2.15-2.18



Record 4
Compound: Tb3YBi2
Source: Alexandria
Functional: PBE-GGA
Structure: optimized geometry

Properties
* DOS(E_F): 1.179 states/eV per atom
* ΔE to the lowest computed polymorph: 114 meV/atom
* crystal system: monoclinic
* energy of formation: -0.50 eV/atom

Unit cell a=9.5655 b=9.5655 c=10.0438 alpha=113.46 beta=113.46 gamma=26.26
Closest atoms and distances in Å follow each position.
Element x y z (fractional)
1 Tb 0.0560 0.0560 0.1703  3 Bi 3.13-3.47, 3 Tb 3.20-3.35
2 Tb 0.3120 0.3120 0.6081  3 Bi 3.19-3.29, 4 Tb 3.27-3.35
3 Tb 0.3582 0.3582 0.0222  4 Bi 3.27-3.33
4 Tb 0.6418 0.6418 0.9778  4 Bi 3.27-3.33
5 Tb 0.6880 0.6880 0.3919  3 Bi 3.19-3.29, 4 Tb 3.27-3.35
6 Tb 0.9440 0.9440 0.8297  3 Bi 3.13-3.47, 3 Tb 3.20-3.35
7 Y 0.1097 0.1097 0.6095  6 Bi 3.26-3.37
8 Y 0.8903 0.8903 0.3905  6 Bi 3.26-3.37
9 Bi 0.2516 0.2516 0.2189  2 Y 3.27, 7 Tb 3.27-3.60
10 Bi 0.4923 0.4923 0.6579  4 Tb 3.13-3.28, 4 Y 3.26-3.37, 1 Bi 3.30
11 Bi 0.5077 0.5077 0.3421  4 Tb 3.13-3.28, 4 Y 3.26-3.37, 1 Bi 3.30
12 Bi 0.7484 0.7484 0.7811  2 Y 3.27, 7 Tb 3.27-3.60



Record 5
Compound: La8SiIr3I4
Source: Alexandria
Functional: PBE-GGA
Structure: optimized geometry

Properties
* DOS(E_F): 0.766 states/eV per atom
* crystal system: trigonal
* energy relative to the elements, uncorrected: -1.0395 eV per atom

Unit cell a=9.5616 b=9.5616 c=9.5616 alpha=53.77 beta=53.77 gamma=53.77
Closest atoms and distances in Å follow each position.
Element x y z (fractional)
1 La 0.2160 0.7350 0.7350  2 Ir 2.88, 1 Si 3.00
2 La 0.2299 0.2299 0.2299  3 Ir 2.94
3 La 0.2650 0.2650 0.7840  2 Ir 2.88, 1 Si 3.00
4 La 0.2650 0.7840 0.2650  2 Ir 2.88, 1 Si 3.00
5 La 0.7350 0.2160 0.7350  2 Ir 2.88, 1 Si 3.00
6 La 0.7350 0.7350 0.2160  2 Ir 2.88, 1 Si 3.00
7 La 0.7701 0.7701 0.7701  3 Ir 2.94
8 La 0.7840 0.2650 0.2650  2 Ir 2.88, 1 Si 3.00
9 Si 0.5000 0.5000 0.5000  6 La 3.00
10 Ir 0.0000 0.0000 0.5000  6 La 2.88-2.94
11 Ir 0.0000 0.5000 0.0000  6 La 2.88-2.94
12 Ir 0.5000 0.0000 0.0000  6 La 2.88-2.94
13 I 0.0000 0.0000 0.0000  6 La 3.51
14 I 0.0000 0.5000 0.5000  6 La 3.55-3.61
15 I 0.5000 0.0000 0.5000  6 La 3.55-3.61
16 I 0.5000 0.5000 0.0000  6 La 3.55-3.61



Record 6
Compound: ZnNiIr
Source: Alexandria
Functional: PBE-GGA
Structure: optimized geometry

Properties
* DOS(E_F): 0.795 states/eV per atom
* ΔE to the lowest computed polymorph: 0 meV/atom
* crystal system: monoclinic
* energy of formation: -0.15 eV/atom

Unit cell a=4.6140 b=4.6140 c=4.5105 alpha=99.18 beta=99.18 gamma=120.32
Closest atoms and distances in Å follow each position.
Element x y z (fractional)
1 Zn 0.1635 0.8365 0.0000  5 Ni 2.61-2.69, 3 Zn 2.62-2.68, 4 Ir 2.65
2 Zn 0.8365 0.1635 0.0000  5 Ni 2.61-2.69, 3 Zn 2.62-2.68, 4 Ir 2.65
3 Ni 0.0000 0.0000 0.5000  4 Zn 2.61, 6 Ir 2.64-2.69, 2 Ni 2.65
4 Ni 0.5000 0.5000 0.0000  4 Ir 2.61, 6 Zn 2.64-2.69, 2 Ni 2.65
5 Ir 0.3362 0.6638 0.5000  5 Ni 2.61-2.69, 3 Ir 2.62-2.68, 4 Zn 2.65
6 Ir 0.6638 0.3362 0.5000  5 Ni 2.61-2.69, 3 Ir 2.62-2.68, 4 Zn 2.65